Entry from Alexandria via LeMat-Bulk: a relaxed structure of Ho7Co2Ag2 (PBE).

a b c (Å): 7.6096 10.7908 6.9241
angles (deg): 90.00 90.00 90.00
Last column: nearest neighbours and their distance in Å.
Space group Cmmm (No. 65)
Symmetry-distinct sites (fractional):
Ho  0.0000  0.0000  0.0000 [2 per cell]  2 Co 3.17
Ho  0.0000  0.5000  0.2391 [4 per cell]  2 Co 2.77, 2 Ag 3.03
Ho  0.2500  0.2500  0.2473 [8 per cell]  2 Co 2.60
Co  0.0000  0.2937  0.0000 [4 per cell]  6 Ho 2.60-2.77
Ag  0.1800  0.0000  0.5000 [4 per cell]  1 Ag 2.74, 2 Ho 3.03

Calculated values
DOS(E_F)   20.69 states/eV per cell
ΔE to the lowest computed polymorph   78 meV per atom
Uncorrected energy   -4.837 eV per atom

---

Entry from Alexandria via LeMat-Bulk: a relaxed structure of Er12Tl3Ga (PBE).

a b c (Å): 4.7763 4.7763 19.1273
angles (deg): 90.00 90.00 90.00
Last column: nearest neighbours and their distance in Å.
Space group P4/mmm (No. 123)
Symmetry-distinct sites (fractional):
Er  0.0000  0.0000  0.0000 [1 per cell]  8 Er 3.29, 4 Ga 3.38
Er  0.0000  0.0000  0.2465 [2 per cell]  4 Tl 3.38, 8 Er 3.41-3.42
Er  0.0000  0.0000  0.5000 [1 per cell]  4 Tl 3.38, 8 Er 3.40
Er  0.0000  0.5000  0.1185 [4 per cell]  2 Ga 3.29, 8 Er 3.29-3.42, 2 Tl 3.43
Er  0.0000  0.5000  0.3736 [4 per cell]  8 Er 3.38-3.41, 4 Tl 3.40
Tl  0.5000  0.5000  0.2470 [2 per cell]  12 Er 3.38-3.43
Tl  0.5000  0.5000  0.5000 [1 per cell]  12 Er 3.38-3.40
Ga  0.5000  0.5000  0.0000 [1 per cell]  12 Er 3.29-3.38

Calculated values
DOS(E_F)   21.74 states/eV per cell
Uncorrected energy   -4.239 eV per atom

---

Entry from Alexandria via LeMat-Bulk: a relaxed structure of Zr4NiAg (PBE).

a b c (Å): 7.9750 7.9750 7.9750
angles (deg): 90.00 90.00 90.00
Last column: nearest neighbours and their distance in Å.
Space group F-43m (No. 216)
Symmetry-distinct sites (fractional):
Zr  0.1244  0.1244  0.3756 [16 per cell]  6 Zr 2.81-2.83
Ni  0.2500  0.2500  0.7500 [4 per cell]  12 Zr 3.30, 4 Ag 3.45
Ag  0.0000  0.0000  0.0000 [4 per cell]  12 Zr 3.31, 4 Ni 3.45

Calculated values
DOS(E_F)   28.10 states/eV per cell
Uncorrected energy   -6.609 eV per atom

---

Entry from Alexandria via LeMat-Bulk: a relaxed structure of Nd3Y6Ho2Mg (PBE).

a b c (Å): 6.1987 10.7470 11.7783
angles (deg): 90.00 100.19 90.00
Last column: nearest neighbours and their distance in Å.
Space group C2/m (No. 12)
Symmetry-distinct sites (fractional):
Nd  0.0000  0.0000  0.0000 [2 per cell]  6 Nd 3.57-3.59, 6 Y 3.61
Nd  0.0000  0.3344  0.0000 [4 per cell]  6 Nd 3.56-3.59, 6 Y 3.60-3.63
Y  0.2463  0.3341  0.7443 [8 per cell]  1 Mg 3.50, 2 Ho 3.51, 6 Y 3.57-3.59, 3 Nd 3.61-3.63
Y  0.2484  0.0000  0.7450 [4 per cell]  2 Ho 3.51, 1 Mg 3.51, 6 Y 3.57-3.59, 3 Nd 3.60-3.61
Ho  0.0000  0.1663  0.5000 [4 per cell]  6 Y 3.51, 3 Ho 3.57-3.58, 3 Mg 3.58-3.59
Mg  0.0000  0.5000  0.5000 [2 per cell]  6 Y 3.50-3.51, 6 Ho 3.58-3.59

Calculated values
DOS(E_F)   37.07 states/eV per cell
Uncorrected energy   -5.287 eV per atom